Entry 1:
First-principles (PBE) data for an optimized crystal structure of Pm2Nd5Ho12, as listed in Alexandria via LeMat-Bulk.

```
Pm2Nd5Ho12
1.0
9.1069 0.0000 0.0000
-4.5534 8.2667 3.3642
0.0000 0.6014 8.6866
Ho Nd Pm
12 5 2
Direct
0.4064 0.2491 0.5474
0.3294 0.2914 0.0918
0.5936 0.7509 0.4526
0.9620 0.2914 0.0918
0.1573 0.7509 0.4526
0.5657 0.1314 0.2817
0.8427 0.2491 0.5474
0.4343 0.8686 0.7183
0.9552 0.9105 0.1837
0.0448 0.0895 0.8163
0.0380 0.7086 0.9082
0.6706 0.7086 0.9082
0.7642 0.5283 0.2946
0.2358 0.4717 0.7054
0.0000 0.0000 0.5000
0.7183 0.4366 0.7683
0.2817 0.5634 0.2317
0.6715 0.0000 0.0000
0.3285 0.0000 0.0000
```

## Properties
- crystal system = monoclinic
- ΔH_f (0 K) (eV/atom) = 0.2204
- volume (Å³ per cell) = 636
- energy relative to the lowest polymorph listed for this composition (meV per atom) = 201
- space-group type = No. 12

***

Entry 2:
First-principles (PBE) data for an optimized crystal structure of Pr6SiSb2Se3, as listed in Alexandria via LeMat-Bulk.

```
Pr6SiSb2Se3
1.0
4.3865 0.0000 0.0000
0.0000 8.7708 0.3523
-2.1933 -2.4884 9.2240
Pr Se Si Sb
6 3 1 2
Direct
0.6603 0.0734 0.3206
0.3370 0.4114 0.6741
0.6630 0.5886 0.3259
0.3397 0.9266 0.6794
0.9978 0.2360 0.9956
0.0022 0.7640 0.0044
0.1684 0.8342 0.3368
0.5000 0.5000 0.0000
0.8316 0.1658 0.6632
0.5000 0.0000 0.0000
0.8328 0.6656 0.6657
0.1672 0.3344 0.3343
```

## Properties
- crystal system = monoclinic
- formation energy (no corrections) (meV per atom) = -1456
- volume (Å³ per cell) = 359
- space-group type = No. 12

***

Entry 3:
First-principles (PBE) data for an optimized crystal structure of CrMo2Os, as listed in Alexandria via LeMat-Bulk.

```
CrMo2Os
1.0
9.3524 0.0101 0.0059
8.9544 2.6995 0.0059
8.9544 1.3253 2.3517
Mo Cr Os
2 1 1
Direct
0.2474 0.2474 0.2474
0.0044 0.0044 0.0044
0.7537 0.7537 0.7537
0.4946 0.4946 0.4946
```

## Properties
- crystal system = trigonal
- ΔH_f (0 K) (eV/atom) = 0.2950
- volume (Å³ per cell) = 59
- energy relative to the lowest polymorph listed for this composition (meV per atom) = 178
- space-group type = No. 160

***

| no. | uncorrected energy (eV/atom) |
| --- | --- |
| 1 | -4.426 |
| 2 | -5.856 |
| 3 | -10.334 |